# 1
Compound: Ac2Mg15Cd2
Source: OQMD
Functional: PBE
Structure: relaxed

Cell lengths 7.866, 7.866, 7.866 Å; angles 82.56, 82.56, 82.56 degrees
Sites, in units of the cell vectors:
Cd 0.901 0.901 0.901
Cd 0.099 0.099 0.099
Mg 0.296 0.000 0.704
Mg 0.349 0.349 0.842
Mg 0.000 0.000 0.500
Mg 0.651 0.158 0.651
Mg 0.296 0.704 0.000
Mg 0.500 0.000 0.000
Mg 0.349 0.842 0.349
Mg 0.000 0.500 0.000
Mg 0.842 0.349 0.349
Mg 0.000 0.296 0.704
Mg 0.158 0.651 0.651
Mg 0.704 0.000 0.296
Mg 0.704 0.296 0.000
Mg 0.651 0.651 0.158
Mg 0.000 0.704 0.296
Ac 0.668 0.668 0.668
Ac 0.332 0.332 0.332

Magnetization ... 0.02 μB per cell
Total energy ... -1.856 eV per atom
SG ... R-3m, No. 166

***

# 2
Compound: AcMgCd2
Source: OQMD
Functional: PBE
Structure: relaxed

Cell lengths 7.762, 5.036, 11.358 Å; angles 90.00, 90.00, 90.00 degrees
Sites, in units of the cell vectors:
Mg 0.460 0.250 0.101
Mg 0.540 0.750 0.899
Mg 0.960 0.250 0.399
Mg 0.040 0.750 0.601
Cd 0.414 0.750 0.648
Cd 0.086 0.250 0.148
Cd 0.219 0.750 0.038
Cd 0.586 0.250 0.352
Cd 0.781 0.250 0.962
Cd 0.914 0.750 0.852
Cd 0.719 0.750 0.462
Cd 0.281 0.250 0.538
Ac 0.291 0.750 0.333
Ac 0.709 0.250 0.667
Ac 0.791 0.750 0.167
Ac 0.209 0.250 0.833

Magnetization ... 0.00 μB per cell
Total energy ... -2.147 eV per atom
SG ... Pnma, No. 62

***

# 3
Compound: AcCdNO
Source: OQMD
Functional: PBE
Structure: relaxed

Cell lengths 3.728, 6.274, 6.112 Å; angles 90.00, 90.00, 90.00 degrees
Sites, in units of the cell vectors:
Cd 0.000 0.025 0.766
Cd 0.000 0.525 0.234
O 0.500 0.389 0.075
O 0.500 0.889 0.925
Ac 0.500 0.041 0.297
Ac 0.500 0.541 0.703
N 0.000 0.799 0.457
N 0.000 0.299 0.543

Magnetization ... 0.00 μB per cell
Total energy ... -5.760 eV per atom
SG ... Pmc2_1, No. 26

***

# 4
Compound: AcCdNO
Source: OQMD
Functional: PBE
Structure: relaxed

Cell lengths 5.179, 5.179, 4.977 Å; angles 90.00, 90.00, 90.00 degrees
Sites, in units of the cell vectors:
Cd 0.750 0.750 0.002
Cd 0.250 0.250 0.998
N 0.250 0.250 0.505
N 0.750 0.750 0.495
O 0.750 0.250 0.000
O 0.250 0.750 0.000
Ac 0.750 0.250 0.500
Ac 0.250 0.750 0.500

Magnetization ... 0.00 μB per cell
Total energy ... -5.692 eV per atom
SG ... P4/nmm, No. 129

***

# 5
Compound: AcCdNO
Source: OQMD
Functional: PBE
Structure: relaxed

Cell lengths 5.797, 9.027, 5.570 Å; angles 90.00, 90.00, 90.00 degrees
Sites, in units of the cell vectors:
Ac 0.990 0.149 0.528
Ac 0.510 0.149 0.028
Ac 0.490 0.851 0.528
Ac 0.010 0.851 0.028
O 0.414 0.400 0.109
O 0.914 0.600 0.109
O 0.586 0.600 0.609
O 0.086 0.400 0.609
N 0.966 0.134 0.044
N 0.466 0.866 0.044
N 0.534 0.134 0.544
N 0.034 0.866 0.544
Cd 0.976 0.620 0.521
Cd 0.524 0.620 0.021
Cd 0.476 0.380 0.521
Cd 0.024 0.380 0.021

Magnetization ... 0.00 μB per cell
Total energy ... -5.746 eV per atom
SG ... Pca2_1, No. 29

***

# 6
Compound: AcCdNO
Source: OQMD
Functional: PBE
Structure: relaxed

Cell lengths 6.001, 6.085, 8.553 Å; angles 90.00, 90.00, 90.00 degrees
Sites, in units of the cell vectors:
Ac 0.526 0.112 0.645
Ac 0.474 0.612 0.355
Ac 0.974 0.612 0.645
Ac 0.026 0.112 0.355
N 0.900 0.318 0.855
N 0.100 0.818 0.145
N 0.600 0.818 0.855
N 0.400 0.318 0.145
Cd 0.399 0.993 0.037
Cd 0.899 0.993 0.963
Cd 0.101 0.493 0.037
Cd 0.601 0.493 0.963
O 0.749 0.875 0.484
O 0.251 0.375 0.516
O 0.249 0.875 0.516
O 0.751 0.375 0.484

Magnetization ... 0.00 μB per cell
Total energy ... -5.901 eV per atom
SG ... Pca2_1, No. 29

***

# 7
Compound: AcCdNO
Source: OQMD
Functional: PBE
Structure: relaxed

Cell lengths 4.032, 4.032, 8.659 Å; angles 90.00, 90.00, 90.00 degrees
Sites, in units of the cell vectors:
O 0.000 0.000 0.000
O 0.500 0.500 0.000
N 0.500 0.000 0.344
N 0.000 0.500 0.656
Ac 0.500 0.000 0.844
Ac 0.000 0.500 0.156
Cd 0.000 0.000 0.500
Cd 0.500 0.500 0.500

Magnetization ... 0.01 μB per cell
Total energy ... -5.830 eV per atom
SG ... P4/nmm, No. 129

***

# 8
Compound: AcCdNO
Source: OQMD
Functional: PBE
Structure: relaxed

Cell lengths 4.134, 5.766, 6.489 Å; angles 90.00, 90.00, 90.00 degrees
Sites, in units of the cell vectors:
N 0.000 0.928 0.333
N 0.000 0.428 0.667
O 0.500 0.874 0.867
O 0.500 0.374 0.133
Cd 0.500 0.977 0.209
Cd 0.500 0.477 0.791
Ac 0.000 0.975 0.712
Ac 0.000 0.475 0.288

Magnetization ... 0.00 μB per cell
Total energy ... -5.822 eV per atom
SG ... Pmc2_1, No. 26

***

# 9
Compound: AcCdNO
Source: OQMD
Functional: PBE
Structure: relaxed

Cell lengths 5.335, 5.335, 4.850 Å; angles 90.00, 90.00, 90.00 degrees
Sites, in units of the cell vectors:
Cd 0.500 0.000 0.999
Cd 0.000 0.500 0.001
N 0.000 0.500 0.501
N 0.500 0.000 0.499
O 0.000 0.000 0.000
O 0.500 0.500 0.000
Ac 0.500 0.500 0.500
Ac 0.000 0.000 0.500

Magnetization ... 0.00 μB per cell
Total energy ... -5.736 eV per atom
SG ... P4/mmm, No. 123

***

# 10
Compound: AcNbCd
Source: OQMD
Functional: PBE
Structure: relaxed

Cell lengths 5.051, 5.051, 5.051 Å; angles 60.00, 60.00, 60.00 degrees
Each line ends with the local moment (μB).
Sites, in units of the cell vectors:
Nb 0.250 0.250 0.250  1.79
Ac 0.500 0.500 0.500  0.19
Cd 0.000 0.000 0.000  -0.01

DFT formation energy ... 235 kJ/mol of formula units
Magnetization ... 2.33 μB per cell
SG ... F-43m, No. 216

***

# 11
Compound: AcNbCd
Source: OQMD
Functional: PBE
Structure: relaxed

Cell lengths 5.227, 5.227, 5.227 Å; angles 60.00, 60.00, 60.00 degrees
Sites, in units of the cell vectors:
Ac 0.000 0.000 0.000
Nb 0.750 0.750 0.750
Cd 0.250 0.250 0.250

DFT formation energy ... 359 kJ/mol of formula units
Magnetization ... 3.06 μB per cell
SG ... F-43m, No. 216

***

# 12
Compound: Ac4CdPb3
Source: OQMD
Functional: PBE
Structure: relaxed

Cell lengths 4.763, 4.943, 12.605 Å; angles 90.00, 90.00, 90.00 degrees
Each line ends with the local moment (μB).
Sites, in units of the cell vectors:
Ac 0.000 0.000 0.640  0.05
Ac 0.500 0.000 0.363  0.01
Ac 0.000 0.500 0.134  0.03
Ac 0.500 0.500 0.863  0.09
Pb 0.500 0.000 0.082  -0.01
Pb 0.000 0.500 0.408  0.00
Pb 0.500 0.500 0.588  0.00
Cd 0.000 0.000 0.921  0.02

Magnetization ... 0.75 μB per cell
Total energy ... -4.029 eV per atom
SG ... Pmm2, No. 25

***

# 13
Compound: AcCdPd
Source: OQMD
Functional: PBE
Structure: relaxed

Cell lengths 5.180, 5.180, 5.180 Å; angles 60.00, 60.00, 60.00 degrees
Sites, in units of the cell vectors:
Ac 0.000 0.000 0.000
Pd 0.750 0.750 0.750
Cd 0.250 0.250 0.250

DFT formation energy ... -5 kJ/mol of formula units
Magnetization ... 0.00 μB per cell
SG ... F-43m, No. 216

***

# 14
Compound: Ac2CdPd2
Source: OQMD
Functional: PBE
Structure: relaxed

Cell lengths 8.101, 8.101, 4.156 Å; angles 90.00, 90.00, 90.00 degrees
Sites, in units of the cell vectors:
Pd 0.374 0.874 0.000
Pd 0.126 0.374 0.000
Pd 0.626 0.126 0.000
Pd 0.874 0.626 0.000
Ac 0.675 0.825 0.500
Ac 0.175 0.675 0.500
Ac 0.825 0.325 0.500
Ac 0.325 0.175 0.500
Cd 0.500 0.500 0.000
Cd 0.000 0.000 0.000

DFT formation energy ... -364 kJ/mol of formula units
Magnetization ... 0.01 μB per cell
SG ... P4/mbm, No. 127

***

# 15
Compound: AcCdPd
Source: OQMD
Functional: PBE
Structure: relaxed

Cell lengths 5.000, 5.000, 5.000 Å; angles 60.00, 60.00, 60.00 degrees
Sites, in units of the cell vectors:
Pd 0.250 0.250 0.250
Cd 0.000 0.000 0.000
Ac 0.500 0.500 0.500

DFT formation energy ... -161 kJ/mol of formula units
Magnetization ... 0.01 μB per cell
SG ... F-43m, No. 216

***

# 16
Compound: AcCd2Pt2
Source: OQMD
Functional: PBE
Structure: relaxed

Cell lengths 7.176, 7.176, 7.176 Å; angles 145.82, 145.82, 49.11 degrees
Sites, in units of the cell vectors:
Cd 0.750 0.250 0.500
Cd 0.250 0.750 0.500
Ac 0.000 0.000 0.000
Pt 0.603 0.603 0.000
Pt 0.397 0.397 0.000

DFT formation energy ... -353 kJ/mol of formula units
Magnetization ... 0.00 μB per cell
SG ... I4/mmm, No. 139

***

# 17
Compound: AcCdRe
Source: OQMD
Functional: PBE
Structure: relaxed

Cell lengths 4.853, 4.853, 4.853 Å; angles 60.00, 60.00, 60.00 degrees
Sites, in units of the cell vectors:
Re 0.000 0.000 0.000
Ac 0.250 0.250 0.250
Cd 0.750 0.750 0.750

DFT formation energy ... 241 kJ/mol of formula units
Magnetization ... 0.02 μB per cell
SG ... F-43m, No. 216

***

# 18
Compound: AcCdRe
Source: OQMD
Functional: PBE
Structure: relaxed

Cell lengths 5.122, 5.122, 5.122 Å; angles 60.00, 60.00, 60.00 degrees
Sites, in units of the cell vectors:
Ac 0.000 0.000 0.000
Re 0.750 0.750 0.750
Cd 0.250 0.250 0.250

DFT formation energy ... 428 kJ/mol of formula units
Magnetization ... 2.00 μB per cell
SG ... F-43m, No. 216

***

# 19
Compound: AcCdSb
Source: OQMD
Functional: PBE
Structure: relaxed

Cell lengths 5.457, 5.457, 5.457 Å; angles 60.00, 60.00, 60.00 degrees
Sites, in units of the cell vectors:
Sb 0.750 0.750 0.750
Cd 0.250 0.250 0.250
Ac 0.000 0.000 0.000

Magnetization ... 0.00 μB per cell
Total energy ... -3.468 eV per atom
SG ... F-43m, No. 216

***

# 20
Compound: AcCdSb
Source: OQMD
Functional: PBE
Structure: relaxed

Cell lengths 5.224, 5.224, 5.224 Å; angles 60.00, 60.00, 60.00 degrees
Sites, in units of the cell vectors:
Cd 0.000 0.000 0.000
Sb 0.750 0.750 0.750
Ac 0.250 0.250 0.250

Magnetization ... 0.00 μB per cell
Total energy ... -3.424 eV per atom
SG ... F-43m, No. 216

***

# 21
Compound: Ac2CdSb4
Source: OQMD
Functional: PBE
Structure: relaxed

Cell lengths 4.493, 4.493, 11.430 Å; angles 90.00, 90.00, 90.00 degrees
Sites, in units of the cell vectors:
Sb 0.500 0.500 0.500
Sb 0.500 0.000 0.160
Sb 0.000 0.000 0.500
Sb 0.000 0.500 0.840
Ac 0.500 0.000 0.739
Ac 0.000 0.500 0.261
Cd 0.500 0.500 0.000

Magnetization ... 0.00 μB per cell
Total energy ... -4.398 eV per atom
SG ... P-4m2, No. 115

***

# 22
Compound: Ac12CdSi6
Source: OQMD
Functional: PBE
Structure: relaxed

Cell lengths 9.520, 9.520, 9.520 Å; angles 109.47, 109.47, 109.47 degrees
Sites, in units of the cell vectors:
Si 0.109 0.609 0.500
Si 0.500 0.109 0.609
Si 0.891 0.391 0.500
Si 0.391 0.500 0.891
Si 0.609 0.500 0.109
Si 0.500 0.891 0.391
Ac 0.812 0.301 0.113
Ac 0.188 0.301 0.489
Ac 0.301 0.489 0.188
Ac 0.188 0.699 0.887
Ac 0.887 0.188 0.699
Ac 0.511 0.812 0.699
Ac 0.113 0.812 0.301
Ac 0.489 0.188 0.301
Ac 0.812 0.699 0.511
Ac 0.699 0.887 0.188
Ac 0.301 0.113 0.812
Ac 0.699 0.511 0.812
Cd 0.000 0.000 0.000

Magnetization ... 0.02 μB per cell
Total energy ... -4.757 eV per atom
SG ... Im-3, No. 204

***

# 23
Compound: AcCdSi
Source: OQMD
Functional: PBE
Structure: relaxed

Cell lengths 5.212, 5.212, 5.212 Å; angles 60.00, 60.00, 60.00 degrees
Sites, in units of the cell vectors:
Ac 0.000 0.000 0.000
Cd 0.250 0.250 0.250
Si 0.750 0.750 0.750

Magnetization ... 0.00 μB per cell
Total energy ... -3.300 eV per atom
SG ... F-43m, No. 216

***

# 24
Compound: AcCdSi
Source: OQMD
Functional: PBE
Structure: relaxed

Cell lengths 4.999, 4.999, 4.999 Å; angles 60.00, 60.00, 60.00 degrees
Sites, in units of the cell vectors:
Si 0.750 0.750 0.750
Ac 0.250 0.250 0.250
Cd 0.000 0.000 0.000

Magnetization ... 0.00 μB per cell
Total energy ... -3.487 eV per atom
SG ... F-43m, No. 216

***

# 25
Compound: Ac3Cd2Sn4
Source: OQMD
Functional: PBE
Structure: relaxed

Cell lengths 6.770, 6.770, 9.825 Å; angles 110.69, 110.69, 42.28 degrees
Sites, in units of the cell vectors:
Sn 0.290 0.290 0.945
Sn 0.915 0.915 0.604
Sn 0.710 0.710 0.055
Sn 0.085 0.085 0.396
Cd 0.318 0.318 0.662
Cd 0.682 0.682 0.338
Ac 0.000 0.000 0.000
Ac 0.372 0.372 0.314
Ac 0.628 0.628 0.686

Magnetization ... 0.01 μB per cell
Total energy ... -3.905 eV per atom
SG ... C2/m, No. 12